Computed, not measured: a relaxed structure of YAsCl at the PBE level of DFT.

It has space group F-43m (No. 216), with a = 6.8967 Å, b = 6.8967 Å, c = 6.8967 Å, α = 90.00°, β = 90.00° and γ = 90.00°. The inequivalent atoms are Y at (0.0000, 0.0000, 0.0000), As at (0.2500, 0.2500, 0.2500) and Cl at (0.0000, 0.0000, 0.5000).

For the calculated volume, the calculation gives 27.3 Å³/atom. As for the calculated total energy: -4.871 eV/atom. The density of states at the Fermi level is 1.50 states/eV per atom.

=====

Computed, not measured: a relaxed structure of TbEr4Th3 at the PBE level of DFT.

It has space group C2/m (No. 12), with a = 23.2198 Å, b = 3.5576 Å, c = 6.0801 Å, α = 90.00°, β = 95.08° and γ = 90.00°. The inequivalent atoms are Tb at (0.0000, 0.0000, 0.0000), Er at (0.1250, 0.5000, 0.8747), Er at (0.2502, 0.0000, 0.7454), Th at (0.0000, 0.5000, 0.5000) and Th at (0.1249, 0.0000, 0.3759).

Its formation energy is 0.027 eV/atom. For the calculated volume, the calculation gives 31.3 Å³/atom. The density of states at the Fermi level is 1.29 states/eV per atom.

=====

Computed, not measured: a relaxed structure of Ga2PtRh at the PBE level of DFT.

It has space group P4/mmm (No. 123), with a = 3.1756 Å, b = 3.1756 Å, c = 5.8321 Å, α = 90.00°, β = 90.00° and γ = 90.00°. The inequivalent atoms are Ga at (0.0000, 0.0000, 0.2444), Pt at (0.5000, 0.5000, 0.5000) and Rh at (0.5000, 0.5000, 0.0000).

Its formation energy is -0.583 eV/atom. For the calculated volume, the calculation gives 14.7 Å³/atom. The density of states at the Fermi level is 0.53 states/eV per atom.

=====

Computed, not measured: a relaxed structure of Np2Ag4Se5 at the PBE level of DFT.

It has space group R-3m (No. 166, hexagonal axes), with a = 4.2896 Å, b = 4.2896 Å, c = 52.5591 Å, α = 90.00°, β = 90.00° and γ = 120.00°. The inequivalent atoms are Np at (0.0000, 0.0000, 0.1354), Ag at (0.0000, 0.0000, 0.3112), Ag at (0.0000, 0.0000, 0.4173), Se at (0.0000, 0.0000, 0.2265), Se at (0.0000, 0.0000, 0.3684) and Se at (0.0000, 0.0000, 0.5000).

For the calculated volume, the calculation gives 25.4 Å³/atom. As for the calculated total energy: -5.417 eV/atom. The density of states at the Fermi level is 1.93 states/eV per atom.

=====

Q: Which of these has the lowest calculated volume?
A: Ga2PtRh

=====

What did the first record say?
Computed, not measured: a relaxed structure of YAsCl at the PBE level of DFT.

It has space group F-43m (No. 216), with a = 6.8967 Å, b = 6.8967 Å, c = 6.8967 Å, α = 90.00°, β = 90.00° and γ = 90.00°. The inequivalent atoms are Y at (0.0000, 0.0000, 0.0000), As at (0.2500, 0.2500, 0.2500) and Cl at (0.0000, 0.0000, 0.5000).

For the calculated volume, the calculation gives 27.3 Å³/atom. As for the calculated total energy: -4.871 eV/atom. The density of states at the Fermi level is 1.50 states/eV per atom.

=====

Q: Which of these has the highest calculated volume?
A: TbEr4Th3

=====

Q: Among the records above, which one has the lowest calculated volume?
A: Ga2PtRh